(1)
# ScMn2H | Alexandria | PBE-GGA | relaxed
# Uncorrected energy, eV/atom: -6.12
# Size of the total moment, μB per formula unit: 5.58
# DOS(E_F), states/eV per atom: 1.18
data_ScMn2H
_chemical_formula_sum 'Sc1 Mn2 H1'
_symmetry_space_group_name_H-M 'P 1'
_symmetry_Int_Tables_number 1
_cell_length_a 4.2280
_cell_length_b 4.2280
_cell_length_c 4.2280
_cell_angle_alpha 60.00
_cell_angle_beta 60.00
_cell_angle_gamma 60.00
loop_
_symmetry_equiv_pos_as_xyz
'x,y,z'
loop_
_atom_site_label
_atom_site_type_symbol
_atom_site_fract_x
_atom_site_fract_y
_atom_site_fract_z
_atom_site_occupancy
Sc1 Sc 0.0000 0.0000 0.0000 1
Mn1 Mn 0.2500 0.2500 0.2500 1
Mn2 Mn 0.7500 0.7500 0.7500 1
H1 H 0.5000 0.5000 0.5000 1

---

(2)
# Sc2Mn2H | Alexandria | PBE-GGA | relaxed
# Uncorrected energy, eV/atom: -6.46
# Size of the total moment, μB per formula unit: 5.58
# DOS(E_F), states/eV per atom: 1.02
data_Sc2Mn2H
_chemical_formula_sum 'Sc4 Mn4 H2'
_symmetry_space_group_name_H-M 'P 1'
_symmetry_Int_Tables_number 1
_cell_length_a 5.6542
_cell_length_b 5.6542
_cell_length_c 4.7998
_cell_angle_alpha 90.00
_cell_angle_beta 90.00
_cell_angle_gamma 90.00
loop_
_symmetry_equiv_pos_as_xyz
'x,y,z'
loop_
_atom_site_label
_atom_site_type_symbol
_atom_site_fract_x
_atom_site_fract_y
_atom_site_fract_z
_atom_site_occupancy
Sc1 Sc 0.1654 0.3346 0.0000 1
Sc2 Sc 0.3346 0.8346 0.0000 1
Sc3 Sc 0.6654 0.1654 0.0000 1
Sc4 Sc 0.8346 0.6654 0.0000 1
Mn1 Mn 0.1637 0.6637 0.5000 1
Mn2 Mn 0.3363 0.1637 0.5000 1
Mn3 Mn 0.6637 0.8363 0.5000 1
Mn4 Mn 0.8363 0.3363 0.5000 1
H1 H 0.0000 0.0000 0.5000 1
H2 H 0.5000 0.5000 0.5000 1

---

(3)
# Sc2MnH | Alexandria | PBE-GGA | relaxed
# Uncorrected energy, eV/atom: -6.30
# Size of the total moment, μB per formula unit: 2.63
# DOS(E_F), states/eV per atom: 1.54
data_Sc2MnH
_chemical_formula_sum 'Sc4 Mn2 H2'
_symmetry_space_group_name_H-M 'P 1'
_symmetry_Int_Tables_number 1
_cell_length_a 5.4860
_cell_length_b 5.4860
_cell_length_c 5.4860
_cell_angle_alpha 109.90
_cell_angle_beta 109.90
_cell_angle_gamma 108.61
loop_
_symmetry_equiv_pos_as_xyz
'x,y,z'
loop_
_atom_site_label
_atom_site_type_symbol
_atom_site_fract_x
_atom_site_fract_y
_atom_site_fract_z
_atom_site_occupancy
Sc1 Sc 0.0312 0.6250 0.9062 1
Sc2 Sc 0.3750 0.2812 0.4062 1
Sc3 Sc 0.7188 0.1250 0.0938 1
Sc4 Sc 0.8750 0.9688 0.5938 1
Mn1 Mn 0.2500 0.7500 0.5000 1
Mn2 Mn 0.5000 0.5000 0.0000 1
H1 H 0.0000 0.0000 0.0000 1
H2 H 0.7500 0.2500 0.5000 1

---

(4)
# ScMnH2 | Alexandria | PBE-GGA | relaxed
# Uncorrected energy, eV/atom: -5.77
# Size of the total moment, μB per formula unit: 2.00
# DOS(E_F), states/eV per atom: 0.46
data_ScMnH2
_chemical_formula_sum 'Sc2 Mn2 H4'
_symmetry_space_group_name_H-M 'P 1'
_symmetry_Int_Tables_number 1
_cell_length_a 5.3202
_cell_length_b 5.3202
_cell_length_c 5.3202
_cell_angle_alpha 132.23
_cell_angle_beta 132.23
_cell_angle_gamma 69.86
loop_
_symmetry_equiv_pos_as_xyz
'x,y,z'
loop_
_atom_site_label
_atom_site_type_symbol
_atom_site_fract_x
_atom_site_fract_y
_atom_site_fract_z
_atom_site_occupancy
Sc1 Sc 0.0000 0.0000 0.0000 1
Sc2 Sc 0.7500 0.2500 0.5000 1
Mn1 Mn 0.2500 0.7500 0.5000 1
Mn2 Mn 0.5000 0.5000 0.0000 1
H1 H 0.1849 0.6250 0.0599 1
H2 H 0.3750 0.4349 0.5599 1
H3 H 0.5651 0.1250 0.9401 1
H4 H 0.8750 0.8151 0.4401 1

---

(5)
# Sc2MnH | Alexandria | PBE-GGA | relaxed
# Uncorrected energy, eV/atom: -6.21
# Size of the total moment, μB per formula unit: 1.60
# DOS(E_F), states/eV per atom: 0.84
data_Sc2MnH
_chemical_formula_sum 'Sc2 Mn1 H1'
_symmetry_space_group_name_H-M 'P 1'
_symmetry_Int_Tables_number 1
_cell_length_a 2.9418
_cell_length_b 2.9418
_cell_length_c 6.8284
_cell_angle_alpha 90.00
_cell_angle_beta 90.00
_cell_angle_gamma 90.00
loop_
_symmetry_equiv_pos_as_xyz
'x,y,z'
loop_
_atom_site_label
_atom_site_type_symbol
_atom_site_fract_x
_atom_site_fract_y
_atom_site_fract_z
_atom_site_occupancy
Sc1 Sc 0.0000 0.0000 0.2354 1
Sc2 Sc 0.0000 0.0000 0.7646 1
Mn1 Mn 0.5000 0.5000 0.5000 1
H1 H 0.5000 0.5000 0.0000 1

---

(6)
# ScMn2H8 | Alexandria | PBE-GGA | relaxed
# Uncorrected energy, eV/atom: -4.81
# Size of the total moment, μB per formula unit: 1.89
# DOS(E_F), states/eV per atom: 0.41
data_ScMn2H8
_chemical_formula_sum 'Sc1 Mn2 H8'
_symmetry_space_group_name_H-M 'P 1'
_symmetry_Int_Tables_number 1
_cell_length_a 3.9463
_cell_length_b 3.9463
_cell_length_c 4.5225
_cell_angle_alpha 90.00
_cell_angle_beta 90.00
_cell_angle_gamma 90.00
loop_
_symmetry_equiv_pos_as_xyz
'x,y,z'
loop_
_atom_site_label
_atom_site_type_symbol
_atom_site_fract_x
_atom_site_fract_y
_atom_site_fract_z
_atom_site_occupancy
Sc1 Sc 0.0000 0.0000 0.0000 1
Mn1 Mn 0.0000 0.5000 0.5000 1
Mn2 Mn 0.5000 0.0000 0.5000 1
H1 H 0.2808 0.2808 0.2860 1
H2 H 0.2808 0.2808 0.7140 1
H3 H 0.2808 0.7192 0.2860 1
H4 H 0.2808 0.7192 0.7140 1
H5 H 0.7192 0.2808 0.2860 1
H6 H 0.7192 0.2808 0.7140 1
H7 H 0.7192 0.7192 0.2860 1
H8 H 0.7192 0.7192 0.7140 1